DFT (PBE) results for a relaxed structure of AlTlHg2.

Properties
Symmetry: R3m
Energy of formation, eV per atom: 0.12
Spin magnetization, μB per formula unit: 0.0

Geometry as POSCAR:
```
AlTlHg2
1.0
-8.186 -1.408 5.694
-7.244 -4.675 5.204
-5.809 -2.834 7.723
Hg Tl Al
2 1 1
Cartesian
-0.160 -0.067 0.140
-5.411 -2.272 4.744
-10.485 -4.402 9.192
-15.803 -6.635 13.855
```